PBE RbIn2GeC, relaxed; N(E_F) = 0.566 states/eV per atom; calculated formation energy = 4.45 eV per formula unit; crystal system = tetragonal; total energy = -3.166 eV per atom
1.0
-3.748 -3.331 3.616
2.501 -2.946 -0.121
2.860 2.221 5.011
Ge C Rb In
1 1 1 2
Direct
0.000 0.500 0.000
0.000 0.000 0.000
0.500 0.500 0.500
0.000 0.000 0.500
0.500 0.000 0.000